(1)
Material: Na4Tl4Pb3
Method: DFT, PBE-GGA
State: relaxed

Cell lengths 10.3266, 5.3257, 11.9732 Å; angles 90.00, 90.00, 90.00 degrees
Space group Amm2 (No. 38)
Unique sites:
Na: 0.0000 0.0000 0.0000
Na: 0.2269 0.0000 0.8097
Na: 0.5000 0.0000 0.9568
Tl: 0.0000 0.0000 0.6342
Tl: 0.2862 0.0000 0.1593
Tl: 0.5000 0.0000 0.6708
Pb: 0.0000 0.0000 0.3114
Pb: 0.2686 0.0000 0.4764

Summary:
- density of states at the Fermi level (states/eV/atom) = 0.404
- crystal system = orthorhombic

(2)
Material: Na4Tl4Pb3
Method: DFT, PBE-GGA
State: relaxed

Cell lengths 3.5600, 4.7286, 19.2610 Å; angles 97.02, 95.04, 90.00 degrees
Space group P-1 (No. 2)
Unique sites:
Na: 0.0450 0.0460 0.0898
Na: 0.3191 0.3185 0.6366
Tl: 0.2283 0.2275 0.4552
Tl: 0.4082 0.4079 0.8189
Pb: 0.1328 0.1342 0.2670
Pb: 0.5000 0.5000 0.0000

Summary:
- density of states at the Fermi level (states/eV/atom) = 0.373
- crystal system = triclinic

Which structure is most stable? (2), by 3.3 kJ/mol of atoms over the runner-up.

(1)
Material: NaTl3Pb2
Method: DFT, PBE-GGA
State: relaxed

Cell lengths 6.9433, 16.9526, 6.3307 Å; angles 90.00, 90.00, 90.00 degrees
Space group Cmcm (No. 63)
Unique sites:
Na: 0.0000 0.1539 0.2500
Tl: 0.0000 0.3503 0.7500
Tl: 0.2461 0.3223 0.2500
Pb: 0.2451 0.0000 0.0000

Summary:
- density of states at the Fermi level (states/eV/atom) = 0.537
- crystal system = orthorhombic

(2)
Material: NaTl3Pb2
Method: DFT, PBE-GGA
State: relaxed

Cell lengths 17.1961, 7.2032, 5.8617 Å; angles 90.00, 90.36, 90.00 degrees
Space group C2/c (No. 15)
Unique sites:
Na: 0.0000 0.1422 0.2500
Tl: 0.0000 0.3738 0.7500
Tl: 0.1625 0.1214 0.9210
Pb: 0.1709 0.3808 0.4193

Summary:
- density of states at the Fermi level (states/eV/atom) = 0.357
- crystal system = monoclinic

Which structure is most stable? (2), by 3.6 kJ/mol of atoms over the runner-up.

(1)
Material: NaTl4Pb
Method: DFT, PBE-GGA
State: relaxed

Cell lengths 6.6854, 9.7818, 5.5755 Å; angles 90.00, 91.11, 90.00 degrees
Space group P2_1/c (No. 14)
Unique sites:
Na: 0.0000 0.0000 0.0000
Tl: 0.2539 0.1664 0.5036
Tl: 0.2558 0.6661 0.0024
Pb: 0.5000 0.0000 0.0000

Summary:
- density of states at the Fermi level (states/eV/atom) = 0.498
- crystal system = monoclinic

(2)
Material: NaTl4Pb
Method: DFT, PBE-GGA
State: relaxed

Cell lengths 9.1709, 9.1709, 9.1709 Å; angles 90.00, 90.00, 90.00 degrees
Space group F-43m (No. 216)
Unique sites:
Na: 0.0000 0.0000 0.0000
Tl: 0.1249 0.1249 0.6249
Pb: 0.2500 0.2500 0.2500

Summary:
- density of states at the Fermi level (states/eV/atom) = 0.462
- crystal system = cubic

Which structure is most stable? (1), by 4.6 kJ/mol of atoms over the runner-up.

(1)
Material: Na12Tl5Pb2
Method: DFT, PBE-GGA
State: relaxed

Cell lengths 14.7702, 9.3493, 8.3932 Å; angles 90.00, 90.45, 90.00 degrees
Space group C2/m (No. 12)
Unique sites:
Na: 0.0621 0.0000 0.3156
Na: 0.0900 0.5000 0.8729
Na: 0.1232 0.2029 0.6605
Na: 0.1554 0.3128 0.2415
Tl: 0.0000 0.5000 0.5000
Tl: 0.1961 0.0000 0.9957
Tl: 0.2319 0.5000 0.5597
Pb: 0.0000 0.1819 0.0000

Summary:
- density of states at the Fermi level (states/eV/atom) = 0.391
- crystal system = monoclinic

(2)
Material: Na12Tl5Pb2
Method: DFT, PBE-GGA
State: relaxed

Cell lengths 19.9000, 10.9293, 5.4798 Å; angles 90.00, 105.91, 90.00 degrees
Space group C2/m (No. 12)
Unique sites:
Na: 0.0895 0.0000 0.0874
Na: 0.0908 0.2294 0.5904
Na: 0.0990 0.5000 0.0992
Na: 0.1952 0.2449 0.1952
Tl: 0.0000 0.5000 0.5000
Tl: 0.2010 0.5000 0.7014
Tl: 0.2113 0.0000 0.7092
Pb: 0.0000 0.2580 0.0000

Summary:
- density of states at the Fermi level (states/eV/atom) = 0.566
- crystal system = monoclinic

Which structure is most stable? (2), by 1.1 kJ/mol of atoms over the runner-up.

(1)
Material: Na2Tl12Pb5
Method: DFT, PBE-GGA
State: relaxed

Cell lengths 18.7293, 11.2015, 5.7823 Å; angles 90.00, 103.79, 90.00 degrees
Space group C2/m (No. 12)
Unique sites:
Na: 0.0000 0.2464 0.0000
Tl: 0.0864 0.5000 0.2223
Tl: 0.0972 0.2587 0.6030
Tl: 0.1017 0.0000 0.0566
Tl: 0.1980 0.2527 0.1983
Pb: 0.0000 0.0000 0.5000
Pb: 0.1956 0.5000 0.8036
Pb: 0.1998 0.0000 0.6217

Summary:
- density of states at the Fermi level (states/eV/atom) = 0.405
- crystal system = monoclinic

(2)
Material: Na2Tl12Pb5
Method: DFT, PBE-GGA
State: relaxed

Cell lengths 18.2021, 6.8769, 10.7878 Å; angles 90.00, 103.03, 90.00 degrees
Space group C2/m (No. 12)
Unique sites:
Na: 0.0000 0.2402 0.0000
Tl: 0.0092 0.0000 0.3568
Tl: 0.0843 0.5000 0.8101
Tl: 0.1638 0.2484 0.5970
Tl: 0.1950 0.2712 0.1113
Pb: 0.0000 0.5000 0.5000
Pb: 0.1385 0.0000 0.8605
Pb: 0.1767 0.0000 0.3422

Summary:
- density of states at the Fermi level (states/eV/atom) = 0.465
- crystal system = monoclinic

Which structure is most stable? (1), by 8.0 kJ/mol of atoms over the runner-up.

(1)
Material: NaTl8Pb2
Method: DFT, PBE-GGA
State: relaxed

Cell lengths 18.2742, 4.7773, 7.9529 Å; angles 90.00, 105.97, 90.00 degrees
Space group C2/m (No. 12)
Unique sites:
Na: 0.0000 0.0000 0.0000
Tl: 0.0489 0.5000 0.7239
Tl: 0.0909 0.0000 0.4511
Tl: 0.1340 0.5000 0.1841
Tl: 0.1829 0.0000 0.9104
Pb: 0.2270 0.5000 0.6319

Summary:
- density of states at the Fermi level (states/eV/atom) = 0.482
- crystal system = monoclinic

(2)
Material: NaTl8Pb2
Method: DFT, PBE-GGA
State: relaxed

Cell lengths 12.8246, 10.5717, 5.6850 Å; angles 90.00, 103.94, 90.00 degrees
Space group C2/m (No. 12)
Unique sites:
Na: 0.0000 0.0000 0.0000
Tl: 0.0797 0.2619 0.8001
Tl: 0.0920 0.5000 0.3107
Tl: 0.2384 0.5000 0.8879
Pb: 0.1331 0.0000 0.5458

Summary:
- density of states at the Fermi level (states/eV/atom) = 0.453
- crystal system = monoclinic

Which structure is most stable? (1), by 11.2 kJ/mol of atoms over the runner-up.

(1)
Material: Na4TlPb
Method: DFT, PBE-GGA
State: relaxed

Cell lengths 5.7176, 10.8333, 5.7366 Å; angles 90.00, 90.16, 90.00 degrees
Space group C2/m (No. 12)
Unique sites:
Na: 0.0000 0.1571 0.0000
Na: 0.0000 0.3389 0.5000
Tl: 0.0000 0.5000 0.0000
Pb: 0.0000 0.0000 0.5000

Summary:
- density of states at the Fermi level (states/eV/atom) = 0.655
- crystal system = monoclinic

(2)
Material: Na4TlPb
Method: DFT, PBE-GGA
State: relaxed

Cell lengths 8.9668, 8.9668, 8.9668 Å; angles 90.00, 90.00, 90.00 degrees
Space group F-43m (No. 216)
Unique sites:
Na: 0.1246 0.1246 0.1246
Tl: 0.0000 0.0000 0.5000
Pb: 0.2500 0.2500 0.7500

Summary:
- density of states at the Fermi level (states/eV/atom) = 0.656
- crystal system = cubic

Which structure is most stable? (1), by 12.5 kJ/mol of atoms over the runner-up.

(1)
Material: Na2TlPb2
Method: DFT, PBE-GGA
State: relaxed

Cell lengths 10.6797, 4.9067, 11.1477 Å; angles 90.00, 92.37, 90.00 degrees
Space group C2/m (No. 12)
Unique sites:
Na: 0.0468 0.0000 0.1542
Na: 0.1487 0.0000 0.4529
Tl: 0.2468 0.5000 0.2543
Pb: 0.0530 0.5000 0.6503
Pb: 0.1541 0.5000 0.9506

Summary:
- density of states at the Fermi level (states/eV/atom) = 0.460
- crystal system = monoclinic

(2)
Material: Na2TlPb2
Method: DFT, PBE-GGA
State: relaxed

Cell lengths 9.1338, 9.1338, 3.6277 Å; angles 90.00, 90.00, 90.00 degrees
Space group P4/mbm (No. 127)
Unique sites:
Na: 0.1733 0.3267 0.0000
Tl: 0.0000 0.0000 0.0000
Pb: 0.1244 0.6244 0.5000

Summary:
- density of states at the Fermi level (states/eV/atom) = 0.513
- crystal system = tetragonal

(3)
Material: Na2TlPb2
Method: DFT, PBE-GGA
State: relaxed

Cell lengths 9.0227, 9.0227, 3.6964 Å; angles 90.00, 90.00, 90.00 degrees
Space group P4/mbm (No. 127)
Unique sites:
Na: 0.1769 0.3231 0.0000
Tl: 0.0000 0.0000 0.5000
Pb: 0.1223 0.6223 0.5000

Summary:
- density of states at the Fermi level (states/eV/atom) = 0.463
- crystal system = tetragonal

(4)
Material: Na2TlPb2
Method: DFT, PBE-GGA
State: relaxed

Cell lengths 11.3354, 5.3085, 9.9817 Å; angles 90.00, 101.48, 90.00 degrees
Space group C2/m (No. 12)
Unique sites:
Na: 0.0524 0.0000 0.3523
Na: 0.1531 0.0000 0.0523
Tl: 0.2430 0.0000 0.7568
Pb: 0.0412 0.5000 0.8500
Pb: 0.1470 0.5000 0.5564

Summary:
- density of states at the Fermi level (states/eV/atom) = 0.299
- crystal system = monoclinic

Which structure is most stable? (1), by 1.1 kJ/mol of atoms over the runner-up.

(1)
Material: NaTl4Pb5
Method: DFT, PBE-GGA
State: relaxed

Cell lengths 18.1419, 3.6150, 10.4798 Å; angles 90.00, 113.30, 90.00 degrees
Space group C2/m (No. 12)
Unique sites:
Na: 0.0000 0.0000 0.0000
Tl: 0.0062 0.5000 0.2492
Tl: 0.1636 0.0000 0.8773
Pb: 0.0000 0.0000 0.5000
Pb: 0.1779 0.5000 0.2043
Pb: 0.1788 0.5000 0.5442

Summary:
- density of states at the Fermi level (states/eV/atom) = 0.466
- crystal system = monoclinic

(2)
Material: NaTl4Pb5
Method: DFT, PBE-GGA
State: relaxed

Cell lengths 3.3964, 3.3964, 26.6835 Å; angles 90.00, 90.00, 90.00 degrees
Space group P4/mmm (No. 123)
Unique sites:
Na: 0.0000 0.0000 0.0000
Tl: 0.0000 0.0000 0.1950
Tl: 0.0000 0.0000 0.3983
Pb: 0.5000 0.5000 0.0952
Pb: 0.5000 0.5000 0.2974
Pb: 0.5000 0.5000 0.5000

Summary:
- density of states at the Fermi level (states/eV/atom) = 0.328
- crystal system = tetragonal

Which structure is most stable? (2), by 3.9 kJ/mol of atoms over the runner-up.